Below is a relaxed structure of MgSeS2N, with properties calculated at the PBE level.

Cell and atoms, written as extended XYZ:
```
5
Lattice="4.926 0.000 0.000 0.000 4.926 0.000 0.000 0.000 3.700" Properties=species:S:1:pos:R:3 pbc="T T T"
Se 0.000 0.000 0.000
N 0.000 0.000 1.850
S 0.000 2.463 0.000
S 2.463 0.000 0.000
Mg 2.463 2.463 1.850
```

Values from the calculation:
**Magnetization**: 0.8 μB per formula unit
**Formation energy (no corrections)**: 0.60 eV per atom
**SG**: P4/mmm
**Offset from the most stable computed form**: 0.000 eV/atom

Below is a relaxed structure of MgSe2SN, with properties calculated at the PBE level.

Cell and atoms, written as extended XYZ:
```
5
Lattice="5.203 0.000 0.000 0.000 5.203 0.000 0.000 0.000 3.359" Properties=species:S:1:pos:R:3 pbc="T T T"
Se 2.601 0.000 0.000
Se 0.000 2.601 0.000
Mg 2.601 2.601 1.679
S 0.000 0.000 0.000
N 0.000 0.000 1.679
```

Values from the calculation:
**Magnetization**: 0.0 μB per formula unit
**Formation energy (no corrections)**: 0.51 eV per atom
**SG**: P4/mmm
**Offset from the most stable computed form**: 0.000 eV/atom

Below is a relaxed structure of MgSeS2N, with properties calculated at the PBE level.

Cell and atoms, written as extended XYZ:
```
5
Lattice="4.897 0.000 0.000 0.000 4.897 0.000 0.000 0.000 3.966" Properties=species:S:1:pos:R:3 pbc="T T T"
Se 2.449 2.449 1.983
Mg 0.000 0.000 0.000
N 0.000 0.000 1.983
S 0.000 2.449 0.000
S 2.449 0.000 0.000
```

Values from the calculation:
**Magnetization**: 2.2 μB per formula unit
**Formation energy (no corrections)**: 0.91 eV per atom
**SG**: P4/mmm
**Offset from the most stable computed form**: 0.313 eV/atom

Question: Look up the magnetization of the third one.
Answer: 2.2 μB per formula unit

Question: What is the formula in the first record?
Answer: MgSeS2N

Copy entry 1 word for word.
Below is a relaxed structure of MgSeS2N, with properties calculated at the PBE level.

Cell and atoms, written as extended XYZ:
```
5
Lattice="4.926 0.000 0.000 0.000 4.926 0.000 0.000 0.000 3.700" Properties=species:S:1:pos:R:3 pbc="T T T"
Se 0.000 0.000 0.000
N 0.000 0.000 1.850
S 0.000 2.463 0.000
S 2.463 0.000 0.000
Mg 2.463 2.463 1.850
```

Values from the calculation:
**Magnetization**: 0.8 μB per formula unit
**Formation energy (no corrections)**: 0.60 eV per atom
**SG**: P4/mmm
**Offset from the most stable computed form**: 0.000 eV/atom